! Mg3Cd4Ag, optimized geometry, DFT PBE-GGA; values from VASP
! * DOS at the Fermi energy: 1.85 states/eV/f.u.
! * calculated formation energy: -0.53 eV per formula unit
! * V: 176 Å³/f.u.
! * symmetry: P-1, No. 2
! * magnetization: 0.0 μB per cell
&SYSTEM
  ibrav = 0, nat = 8, ntyp = 3
/
ATOMIC_SPECIES
Mg 24.30 Mg.upf
Ag 107.87 Ag.upf
Cd 112.41 Cd.upf
CELL_PARAMETERS angstrom
4.471 -0.012 0.965
-0.151 3.130 0.735
-0.069 -1.245 12.265
ATOMIC_POSITIONS crystal
Mg 0.348 0.850 0.299
Mg 0.652 0.150 0.701
Mg 0.500 0.500 0.000
Ag 0.000 0.000 0.000
Cd 0.901 0.403 0.197
Cd 0.099 0.597 0.803
Cd 0.779 0.279 0.441
Cd 0.221 0.721 0.559

! Mg8CdAg5, optimized geometry, DFT PBE-GGA; values from VASP
! * DOS at the Fermi energy: 6.51 states/eV/f.u.
! * calculated formation energy: -1.01 eV per formula unit
! * V: 290 Å³/f.u.
! * symmetry: I-4, No. 82
! * magnetization: 0.0 μB per cell
&SYSTEM
  ibrav = 0, nat = 14, ntyp = 3
/
ATOMIC_SPECIES
Mg 24.30 Mg.upf
Cd 112.41 Cd.upf
Ag 107.87 Ag.upf
CELL_PARAMETERS angstrom
-4.477 4.097 3.939
-3.218 -2.503 -5.977
2.001 -5.371 4.415
ATOMIC_POSITIONS crystal
Mg 0.152 0.743 0.073
Mg 0.927 0.080 0.671
Mg 0.733 0.253 0.337
Mg 0.663 0.396 0.916
Mg 0.520 0.604 0.267
Mg 0.591 0.920 0.848
Mg 0.329 0.257 0.409
Mg 0.084 0.747 0.480
Cd 0.250 0.500 0.750
Ag 0.035 0.332 0.136
Ag 0.864 0.898 0.196
Ag 0.804 0.668 0.702
Ag 0.500 0.000 0.500
Ag 0.298 0.102 0.965